PBE+U LiCoPd2F, optimized geometry; total DFT energy (no corrections) = -4.0318 eV/atom; symmetry = P4/mmm (123); magnetic moment = 2.5 μB per formula unit
1.0
4.665 0.000 0.000
0.000 4.665 0.000
0.000 0.000 3.256
Li Co Pd F
1 1 2 1
Direct
0.000 0.000 0.000
0.500 0.500 0.500
0.000 0.500 0.000
0.500 0.000 0.000
0.000 0.000 0.500